No. 1
## In2TePd2 (GGA-PBE)

Data for a geometry-optimized In2TePd2 structure.

Computed properties:
total DFT energy (no corrections)	-19.92	eV per cell
formation energy without anion corrections	-0.183	eV per atom
M_tot	0.00	μB/cell
energy relative to the lowest polymorph listed for this composition	0.118	eV/atom
space-group type	No. 139

abc: 3.999 3.999 7.684
angles: 74.92 74.92 90.00
Sites, in units of the cell vectors:
In1 0.616 0.616 0.767
In2 0.384 0.384 0.233
Pd1 0.250 0.750 0.500
Pd2 0.750 0.250 0.500
Te1 0.000 0.000 0.000

***

No. 2
## Ru3PbBr (GGA-PBE)

Data for a geometry-optimized Ru3PbBr structure.

Computed properties:
total DFT energy (no corrections)	-26.30	eV per cell
formation energy without anion corrections	1.381	eV per atom
M_tot	1.20	μB/cell
energy relative to the lowest polymorph listed for this composition	0.000	eV/atom
space-group type	No. 221

abc: 4.637 4.637 4.637
angles: 90.00 90.00 90.00
Each line ends with the local moment (μB).
Sites, in units of the cell vectors:
Ru1 0.000 0.000 0.500  0.44
Ru2 0.000 0.500 0.000  0.42
Ru3 0.500 0.000 0.000  0.33
Pb1 0.500 0.500 0.500  0.00
Br1 0.000 0.000 0.000  0.01